No. 1
A geometry-optimized Ac2CoO4 structure, computed with GGA+U.

Computed properties:
V: 135 Å³/f.u.
polymorph energy (0 for the lowest one): 13.62 kJ/mol of atoms

Cell: 3.9761 3.9761 9.0057 Å, 102.75 102.75 90.00°
Positions (direct):
1 Co 0.0000 0.0000 0.0000
2 O 0.1014 0.1014 0.2028
3 O 0.7500 0.2500 0.5000
4 O 0.2500 0.7500 0.5000
5 O 0.8986 0.8986 0.7972
6 Ac 0.3310 0.3310 0.6619
7 Ac 0.6690 0.6690 0.3381

---

No. 2
A geometry-optimized Ac2CoO5 structure, computed with GGA+U.

Computed properties:
V: 135 Å³/f.u.
polymorph energy (0 for the lowest one): 0.00 kJ/mol of atoms

Cell: 4.3153 11.2290 11.1739 Å, 89.97 90.09 90.54°
Positions (direct):
1 O 0.2177 0.7558 0.8671
2 O 0.2356 0.7988 0.2328
3 O 0.7255 0.2429 0.1329
4 O 0.7494 0.5143 0.0985
5 O 0.2394 0.2255 0.9760
6 O 0.7661 0.2016 0.7666
7 O 0.7612 0.2753 0.4760
8 O 0.2495 0.9853 0.5986
9 O 0.2408 0.2991 0.2669
10 O 0.2628 0.5529 0.3095
11 O 0.7245 0.4475 0.6903
12 O 0.2756 0.2548 0.6326
13 O 0.2439 0.4856 0.9014
14 O 0.7201 0.7440 0.3676
15 O 0.7678 0.9472 0.8097
16 O 0.2617 0.0531 0.1906
17 O 0.7269 0.7013 0.7333
18 O 0.2312 0.7252 0.5237
19 O 0.7339 0.7751 0.0241
20 O 0.7504 0.0145 0.4014
21 Ac 0.7462 0.8640 0.5660
22 Ac 0.2586 0.0821 0.7911
23 Ac 0.2315 0.5822 0.7088
24 Ac 0.7523 0.4180 0.2912
25 Ac 0.2445 0.1361 0.4341
26 Ac 0.7476 0.9179 0.2089
27 Ac 0.2492 0.6360 0.0657
28 Ac 0.7514 0.3637 0.9343
29 Co 0.3224 0.2028 0.1349
30 Co 0.3178 0.7028 0.3652
31 Co 0.8175 0.7972 0.8653
32 Co 0.6767 0.2973 0.6347

---

No. 3
A geometry-optimized Ac4CoO7 structure, computed with GGA+U.

Computed properties:
final energy: -7.614 eV/atom
V: 206 Å³/f.u.

Cell: 4.2419 7.2139 7.3546 Å, 81.99 73.24 72.90°
Positions (direct):
1 O 0.9181 0.2656 0.8982
2 O 0.6340 0.4331 0.2988
3 O 0.3660 0.5669 0.7012
4 O 0.2026 0.1480 0.4468
5 O 0.7974 0.8520 0.5532
6 O 0.0819 0.7344 0.1018
7 O 0.5000 0.0000 0.0000
8 Ac 0.2565 0.3351 0.1520
9 Ac 0.5830 0.2165 0.6176
10 Ac 0.4170 0.7835 0.3824
11 Ac 0.7435 0.6649 0.8480
12 Co 0.0000 0.0000 0.0000

---

No. 4
A geometry-optimized Ac2CoO4 structure, computed with GGA+U.

Computed properties:
V: 115 Å³/f.u.
polymorph energy (0 for the lowest one): 0.00 kJ/mol of atoms

Cell: 5.9228 5.9252 7.2151 Å, 114.24 90.00 90.00°
Positions (direct):
1 O 0.2806 0.2823 0.0000
2 O 0.7194 0.7177 0.0000
3 O 0.7500 0.5017 0.5000
4 O 0.7500 0.0017 0.5000
5 O 0.2500 0.9983 0.5000
6 O 0.2500 0.4983 0.5000
7 O 0.2194 0.7823 0.0000
8 O 0.7806 0.2177 0.0000
9 Ac 0.0000 0.6495 0.2990
10 Ac 0.0000 0.3505 0.7010
11 Ac 0.5000 0.1495 0.2990
12 Ac 0.5000 0.8505 0.7010
13 Co 0.5000 0.5000 0.0000
14 Co 0.0000 0.0000 0.0000

---

No. 5
A geometry-optimized AcCo2O4 structure, computed with GGA+U.

Computed properties:
final energy: -6.487 eV/atom
V: 117 Å³/f.u.

Cell: 5.6515 4.5545 4.5545 Å, 90.00 90.00 90.00°
Positions (direct):
1 O 0.3091 0.7494 0.7494
2 O 0.6909 0.2506 0.7494
3 O 0.3091 0.2506 0.2506
4 O 0.6909 0.7494 0.2506
5 Co 0.5000 0.5000 0.0000
6 Co 0.5000 0.0000 0.5000
7 Ac 0.0000 0.0000 0.0000

---

No. 6
A geometry-optimized Ac2CoOsO8 structure, computed with GGA+U.

Computed properties:
final energy: -7.322 eV/atom
V: 172 Å³/f.u.

Cell: 4.4307 5.4254 7.2959 Å, 82.38 94.05 97.12°
Positions (direct):
1 O 0.7892 0.2496 0.8694
2 O 0.3031 0.2523 0.0546
3 O 0.7939 0.6808 0.5548
4 O 0.2061 0.3192 0.4452
5 O 0.6969 0.7477 0.9454
6 O 0.2108 0.7504 0.1306
7 O 0.1858 0.9793 0.7708
8 O 0.8142 0.0207 0.2292
9 Ac 0.3111 0.5193 0.7363
10 Ac 0.6889 0.4807 0.2637
11 Co 0.0000 0.0000 0.5000
12 Os 0.0000 0.0000 0.0000